This record from Alexandria describes a relaxed structure of LiVS2. The functional is GGA-PBE.

Values from the calculation:
final energy	-5.51	eV/atom

Cell: 6.1193 6.1193 6.1193 Å, 90.00 90.00 90.00°
Space group Fm-3m (No. 225)
Symmetry-distinct sites (fractional):
Li: 0.0000 0.0000 0.0000
V: 0.0000 0.0000 0.5000
S: 0.2500 0.2500 0.2500

This record from Alexandria describes a relaxed structure of Li3Zr3VS8. The functional is GGA-PBE.

Values from the calculation:
final energy	-6.33	eV/atom

Cell: 7.1889 7.1889 18.7880 Å, 90.00 90.00 120.00°
Space group R-3m (No. 166, hexagonal axes)
Symmetry-distinct sites (fractional):
Li: 0.0000 0.5000 0.0000
Zr: 0.0000 0.5000 0.5000
V: 0.0000 0.0000 0.5000
S: 0.0000 0.0000 0.2503
S: 0.0108 0.5054 0.2461

What did the first record say?
This record from Alexandria describes a relaxed structure of LiVS2. The functional is GGA-PBE.

Values from the calculation:
final energy	-5.51	eV/atom

Cell: 6.1193 6.1193 6.1193 Å, 90.00 90.00 90.00°
Space group Fm-3m (No. 225)
Symmetry-distinct sites (fractional):
Li: 0.0000 0.0000 0.0000
V: 0.0000 0.0000 0.5000
S: 0.2500 0.2500 0.2500

> Among the records above, which one has the lowest final energy?

Li3Zr3VS8